This record from the Alexandria database describes a relaxed structure of BaTaFe2O8. The functional is GGA+U.

size of the total moment = 7.000 μB per formula unit
calculated total energy = -7.07 eV per atom

Unit cell a=5.5666 b=5.5666 c=7.3215 alpha=90.00 beta=90.00 gamma=120.00
Last column: magnetic moment on the atom in μB.
Atoms (fractional coordinates):
Ba1 0.0000 0.0000 0.0000  0.01
Ta1 0.0000 0.0000 0.5000  0.12
Fe1 0.6667 0.3333 0.2678  3.59
Fe2 0.3333 0.6667 0.7322  3.59
O1 0.3333 0.6667 0.9656  -0.14
O2 0.3140 0.2319 0.3345  -0.02
O3 0.7681 0.0822 0.3345  -0.02
O4 0.6667 0.3333 0.0344  -0.14
O5 0.2319 0.9178 0.6655  -0.02
O6 0.6860 0.7681 0.6655  -0.02
O7 0.0822 0.3140 0.6655  -0.02
O8 0.9178 0.6860 0.3345  -0.02